This record from Alexandria via LeMat-Bulk describes crystalline GeTeAsI2 at its relaxed geometry. The functional is GGA-PBE.

```
GeTeAsI2
1.0
-4.173 1.962 -3.028
2.906 -0.917 -4.599
-2.221 -5.269 -0.353
Ge As Te I
1 1 1 2
Direct
0.500 0.500 0.500
0.000 0.000 0.000
0.000 0.000 0.500
0.500 0.000 0.000
0.000 0.500 0.000
```

Calculated values
- E_form (uncorrected): 0.4741 eV per atom
- VASP energy: -2.628 eV/atom
- Crystal system: tetragonal

***

This record from Alexandria via LeMat-Bulk describes crystalline SiSeBr at its relaxed geometry. The functional is GGA-PBE.

```
SiSeBr
1.0
7.232 0.000 0.000
0.000 3.568 0.000
-3.097 0.000 16.155
Se Br Si
4 4 4
Direct
0.740 0.500 0.949
0.740 0.000 0.449
0.681 0.000 0.690
0.681 0.500 0.190
0.275 0.000 0.894
0.218 0.500 0.626
0.275 0.500 0.394
0.218 0.000 0.126
0.522 0.500 0.619
0.557 0.000 0.977
0.522 0.000 0.119
0.557 0.500 0.477
```

Calculated values
- E_form (uncorrected): -0.5198 eV per atom
- VASP energy: -4.047 eV/atom
- Crystal system: monoclinic

***

This record from Alexandria via LeMat-Bulk describes crystalline Hf3CdFe at its relaxed geometry. The functional is GGA-PBE.

```
Hf3CdFe
1.0
-2.479 -4.080 -0.373
3.881 -2.478 1.314
-1.313 0.378 4.589
Fe Hf Cd
1 3 1
Direct
0.000 0.000 0.000
0.000 0.500 0.000
0.000 0.000 0.500
0.500 0.000 0.000
0.500 0.500 0.500
```

Calculated values
- Formation energy from the elements: 1.1 eV/f.u.
- VASP energy: -7.619 eV/atom
- Crystal system: cubic

***

This record from Alexandria via LeMat-Bulk describes crystalline Pm5PrY4 at its relaxed geometry. The functional is GGA-PBE.

```
Pm5PrY4
1.0
-1.036 0.946 5.956
-4.479 -5.909 3.302
5.743 -3.328 4.671
Y Pm Pr
4 5 1
Direct
0.780 0.674 0.674
0.455 0.326 0.674
0.128 0.326 0.326
0.454 0.674 0.326
0.138 0.622 0.999
0.759 0.378 0.001
0.137 0.001 0.622
0.760 0.999 0.378
0.683 0.000 0.000
0.216 0.000 0.000
```

Calculated values
- Formation energy from the elements: 2.6 eV/f.u.
- VASP energy: -5.181 eV/atom
- Crystal system: tetragonal

***

This record from Alexandria via LeMat-Bulk describes crystalline Au at its relaxed geometry. The functional is GGA-PBE.

```
Au
1.0
-2.046 7.816 6.701
5.954 -4.675 7.271
2.249 1.397 -0.943
Au
16
Direct
0.097 0.161 0.500
0.899 0.359 0.500
0.403 0.339 0.000
0.839 0.097 0.500
0.161 0.903 0.500
0.597 0.661 0.000
0.399 0.859 0.000
0.339 0.597 0.000
0.661 0.403 0.000
0.641 0.899 0.500
0.903 0.839 0.500
0.859 0.601 0.000
0.101 0.641 0.500
0.601 0.141 0.000
0.141 0.399 0.000
0.359 0.101 0.500
```

Calculated values
- Formation energy from the elements: 0.1 eV/f.u.
- VASP energy: -3.186 eV/atom
- Crystal system: tetragonal

***

This record from Alexandria via LeMat-Bulk describes crystalline ReBIBr2 at its relaxed geometry. The functional is GGA-PBE.

```
ReBIBr2
1.0
5.138 0.000 0.000
0.000 5.609 0.000
0.000 0.000 5.138
Br Re I B
2 1 1 1
Direct
0.500 0.000 0.000
0.000 0.000 0.500
0.000 0.000 0.000
0.000 0.500 0.000
0.500 0.500 0.500
```

Calculated values
- E_form (uncorrected): 1.3900 eV per atom
- VASP energy: -3.414 eV/atom
- Crystal system: tetragonal

***

This record from Alexandria via LeMat-Bulk describes crystalline YAlNi2 at its relaxed geometry. The functional is GGA-PBE.

```
YAlNi2
1.0
3.962 -0.714 0.565
2.569 3.100 0.565
1.426 0.521 5.222
Ni Al Y
2 1 1
Direct
0.300 0.300 0.102
0.994 0.994 0.019
0.702 0.702 0.893
0.504 0.504 0.486
```

Calculated values
- Formation energy from the elements: -1.5 eV/f.u.
- VASP energy: -5.829 eV/atom
- Crystal system: monoclinic

***

This record from Alexandria via LeMat-Bulk describes crystalline Sn3Bi at its relaxed geometry. The functional is GGA-PBE.

```
Sn3Bi
1.0
-1.167 1.987 -2.444
3.167 -3.074 -4.010
-5.445 -3.022 2.451
Sn Bi
3 1
Direct
0.500 0.509 0.000
0.242 0.570 0.485
0.758 0.085 0.515
0.000 0.002 0.000
```

Calculated values
- Formation energy from the elements: 0.2 eV/f.u.
- VASP energy: -3.914 eV/atom
- Crystal system: orthorhombic